Entry 1:
A relaxed Li2MnAg crystal. Source: the Alexandria database, functional PBE.

The structure in POSCAR format:
```
Li2MnAg
1.0
4.4849 0.0000 0.0000
0.0000 2.7890 0.0240
0.0000 0.8667 5.2021
Ag Li Mn
1 2 1
Direct
0.5000 0.8143 0.7356 Ag
0.0000 0.9877 0.0117 Li
0.5000 0.2502 0.2336 Li
0.0000 0.4478 0.5191 Mn
```

For the energy of formation from the pure elements, the calculation gives 0.149 eV/atom. The value obtained for the total energy is -15.25 eV per formula unit. The crystal system is monoclinic.

=====

Entry 2:
A relaxed Li2MnAg2 crystal. Source: the Alexandria database, functional PBE.

The structure in POSCAR format:
```
Li2MnAg2
1.0
7.4603 0.0000 0.0000
0.0000 7.4603 0.0000
0.0000 0.0000 2.7164
Mn Ag Li
2 4 4
Direct
0.0000 0.0000 0.0000 Mn
0.5000 0.5000 0.0000 Mn
0.3590 0.8590 0.0000 Ag
0.8590 0.6410 0.0000 Ag
0.6410 0.1410 0.0000 Ag
0.1410 0.3590 0.0000 Ag
0.1606 0.6606 0.5000 Li
0.6606 0.8394 0.5000 Li
0.8394 0.3394 0.5000 Li
0.3394 0.1606 0.5000 Li
```

For the energy of formation from the pure elements, the calculation gives 0.454 eV/atom. For the polymorph energy (0 for the lowest one), the calculation gives 0.27 eV/f.u. The value obtained for the total energy is -16.43 eV per formula unit. The crystal system is tetragonal.